Model a:
VASP calculation (GGA-PBEsol) on an optimized crystal structure of ZnRe2Br.

Cell lengths 2.7841, 4.8076, 5.4714 Å; angles 116.06, 104.74, 90.00 degrees
Fractional coordinates of all 4 atoms:
Re (0.7488, 0.7488, 0.4975)
Re (0.2512, 0.2512, 0.5025)
Zn (0.5000, 0.0000, 0.0000)
Br (0.0000, 0.5000, 0.0000)

Computed properties:
Crystal system = orthorhombic
Space group = Immm (71)

---

Model b:
VASP calculation (GGA-PBEsol) on an optimized crystal structure of ZnRe2Br.

Cell lengths 2.9708, 2.9708, 7.8708 Å; angles 90.00, 90.00, 90.00 degrees
Fractional coordinates of all 4 atoms:
Br (0.5000, 0.5000, 0.7930)
Re (0.5000, 0.5000, 0.2303)
Re (0.0000, 0.0000, 0.0362)
Zn (0.0000, 0.0000, 0.4405)

Computed properties:
Crystal system = tetragonal
Space group = P4mm (99)

---

Of them, model a has the lowest stability.

---

Model a:
VASP calculation (GGA-PBEsol) on an optimized crystal structure of MnBrCl.

Cell lengths 3.7169, 3.7169, 6.2863 Å; angles 90.00, 90.00, 120.00 degrees
Last column: magnetic moment on the atom in μB.
Fractional coordinates of all 3 atoms:
Br (0.0000, 0.0000, 0.0987)  0.12
Mn (0.6667, 0.3333, 0.3450)  4.42
Cl (0.3333, 0.6667, 0.5563)  0.10

Computed properties:
Crystal system = trigonal
Space group = P3m1 (156)

---

Model b:
VASP calculation (GGA-PBEsol) on an optimized crystal structure of MnBrCl.

Cell lengths 3.2760, 3.2760, 6.7027 Å; angles 104.15, 104.15, 90.00 degrees
Last column: magnetic moment on the atom in μB.
Fractional coordinates of all 3 atoms:
Cl (0.2877, 0.2877, 0.5754)  0.11
Br (0.0409, 0.0409, 0.0818)  0.14
Mn (0.6714, 0.6714, 0.3428)  4.41

Computed properties:
Crystal system = tetragonal
Space group = I4mm (107)

---

Of them, model b has the lowest stability.

---

Model a:
VASP calculation (GGA-PBEsol) on an optimized crystal structure of SrHgCl2.

Cell lengths 5.2137, 5.2137, 5.2137 Å; angles 60.00, 60.00, 60.00 degrees
Fractional coordinates of all 4 atoms:
Hg (0.5000, 0.5000, 0.5000)
Cl (0.7500, 0.7500, 0.7500)
Cl (0.0000, 0.0000, 0.0000)
Sr (0.2500, 0.2500, 0.2500)

Computed properties:
Crystal system = cubic
Space group = F-43m (216)

---

Model b:
VASP calculation (GGA-PBEsol) on an optimized crystal structure of SrHgCl2.

Cell lengths 5.2091, 5.2091, 5.2091 Å; angles 60.00, 60.00, 60.00 degrees
Fractional coordinates of all 4 atoms:
Cl (0.7500, 0.7500, 0.7500)
Cl (0.2500, 0.2500, 0.2500)
Sr (0.5000, 0.5000, 0.5000)
Hg (0.0000, 0.0000, 0.0000)

Computed properties:
Crystal system = cubic
Space group = Fm-3m (225)

---

Of them, model a has the lowest stability.

---

Model a:
VASP calculation (GGA-PBEsol) on an optimized crystal structure of CrMo2.

Cell lengths 3.0426, 5.0352, 6.0745 Å; angles 107.97, 90.00, 107.59 degrees
Fractional coordinates of all 6 atoms:
Mo (0.5029, 0.0058, 0.2605)
Mo (0.8300, 0.6601, 0.9092)
Mo (0.4971, 0.9942, 0.7395)
Mo (0.1700, 0.3399, 0.0908)
Cr (0.8328, 0.6656, 0.4192)
Cr (0.1672, 0.3344, 0.5808)

Computed properties:
Crystal system = monoclinic
Space group = C2/m (12)

---

Model b:
VASP calculation (GGA-PBEsol) on an optimized crystal structure of CrMo2.

Cell lengths 4.8379, 4.8379, 4.8379 Å; angles 106.14, 106.14, 116.36 degrees
Fractional coordinates of all 6 atoms:
Cr (0.2500, 0.2500, 0.0000)
Cr (0.7500, 0.7500, 0.0000)
Mo (0.6632, 0.8368, 0.5000)
Mo (0.1632, 0.6632, 0.8264)
Mo (0.8368, 0.3368, 0.1736)
Mo (0.3368, 0.1632, 0.5000)

Computed properties:
Crystal system = tetragonal
Space group = I4/mcm (140)

---

Of them, model b has the lowest stability.

---

Model a:
VASP calculation (GGA-PBEsol) on an optimized crystal structure of AsIr2Se.

Cell lengths 2.7353, 3.5560, 7.3944 Å; angles 90.00, 99.98, 90.00 degrees
Fractional coordinates of all 4 atoms:
Ir (0.5449, 0.5000, 0.2204)
Ir (0.9446, 0.0000, 0.0062)
As (0.3597, 0.5000, 0.8284)
Se (0.6508, 0.0000, 0.4450)

Computed properties:
Crystal system = monoclinic
Space group = Pm (6)

---

Model b:
VASP calculation (GGA-PBEsol) on an optimized crystal structure of AsIr2Se.

Cell lengths 4.4238, 4.4238, 4.4238 Å; angles 60.00, 60.00, 60.00 degrees
Fractional coordinates of all 4 atoms:
Se (0.5000, 0.5000, 0.5000)
Ir (0.2500, 0.2500, 0.2500)
Ir (0.7500, 0.7500, 0.7500)
As (0.0000, 0.0000, 0.0000)

Computed properties:
Crystal system = cubic
Space group = Fm-3m (225)

---

Of them, model b has the lowest stability.

---

Model a:
VASP calculation (GGA-PBEsol) on an optimized crystal structure of InPbBr2.

Cell lengths 3.7146, 3.7146, 8.1816 Å; angles 90.00, 90.00, 89.94 degrees
Fractional coordinates of all 4 atoms:
Br (0.5000, 0.5000, 0.6960)
Br (0.0000, 0.0000, 0.0414)
Pb (0.5000, 0.5000, 0.2523)
In (0.0000, 0.0000, 0.5103)

Computed properties:
Crystal system = tetragonal
Space group = P4mm (99)

---

Model b:
VASP calculation (GGA-PBEsol) on an optimized crystal structure of InPbBr2.

Cell lengths 3.7342, 3.7342, 10.0891 Å; angles 79.34, 79.34, 60.00 degrees
Fractional coordinates of all 4 atoms:
In (0.5071, 0.5071, 0.4787)
Pb (0.7463, 0.7463, 0.7612)
Br (0.0089, 0.0089, 0.9733)
Br (0.2378, 0.2378, 0.2867)

Computed properties:
Crystal system = trigonal
Space group = R3m (160)

---

Of them, model b has the lowest stability.

---

Model a:
VASP calculation (GGA-PBEsol) on an optimized crystal structure of CaSb2O4.

Cell lengths 6.6576, 6.6576, 6.6576 Å; angles 100.05, 114.38, 114.38 degrees
Fractional coordinates of all 14 atoms:
Sb (0.7789, 0.9366, 0.1526)
Sb (0.2159, 0.8423, 0.0634)
Sb (0.7841, 0.8474, 0.6264)
Sb (0.2211, 0.3736, 0.1577)
O (0.6244, 0.5631, 0.3236)
O (0.1333, 0.9283, 0.6936)
O (0.2348, 0.3064, 0.4397)
O (0.7652, 0.2049, 0.0717)
O (0.2395, 0.6764, 0.3008)
O (0.3756, 0.6992, 0.9387)
O (0.8667, 0.5603, 0.7951)
O (0.7605, 0.0613, 0.4369)
Ca (0.0000, 0.5000, 0.5000)
Ca (0.5000, 0.2500, 0.7500)

Computed properties:
Crystal system = tetragonal
Space group = I-4 (82)

---

Model b:
VASP calculation (GGA-PBEsol) on an optimized crystal structure of CaSb2O4.

Cell lengths 6.3862, 6.8497, 18.2812 Å; angles 88.24, 89.53, 63.70 degrees
Fractional coordinates of all 42 atoms:
Sb (0.8872, 0.7860, 0.0377)
Sb (0.1800, 0.1218, 0.7233)
Sb (0.5442, 0.9762, 0.4408)
Sb (0.5296, 0.4206, 0.9895)
Sb (0.7720, 0.9335, 0.2653)
Sb (0.0651, 0.9247, 0.5694)
Sb (0.4847, 0.5612, 0.3470)
Sb (0.1673, 0.6845, 0.8458)
Sb (0.3214, 0.3854, 0.1534)
Sb (0.6705, 0.6618, 0.8335)
Sb (0.7830, 0.4527, 0.1618)
Sb (0.5332, 0.3503, 0.6433)
O (0.6726, 0.7857, 0.1231)
O (0.8178, 0.0958, 0.0272)
O (0.9232, 0.1248, 0.2342)
O (0.7924, 0.4930, 0.3847)
O (0.5366, 0.6181, 0.2418)
O (0.5073, 0.9940, 0.7577)
O (0.2672, 0.7536, 0.9469)
O (0.7087, 0.4695, 0.5845)
O (0.2947, 0.8673, 0.6509)
O (0.3794, 0.2877, 0.9278)
O (0.7773, 0.3860, 0.9112)
O (0.7259, 0.0563, 0.3681)
O (0.6344, 0.4114, 0.7369)
O (0.0413, 0.4710, 0.2202)
O (0.3689, 0.8781, 0.3712)
O (0.4370, 0.1199, 0.2396)
O (0.7920, 0.0384, 0.6358)
O (0.9490, 0.5720, 0.7711)
O (0.0654, 0.9997, 0.8064)
O (0.1772, 0.2419, 0.0915)
O (0.2762, 0.2549, 0.4384)
O (0.0462, 0.6531, 0.5732)
O (0.8362, 0.8142, 0.8864)
O (0.1489, 0.7131, 0.1098)
Ca (0.6611, 0.1670, 0.8313)
Ca (0.7403, 0.7166, 0.6628)
Ca (0.2845, 0.9281, 0.1653)
Ca (0.9534, 0.4570, 0.4969)
Ca (0.1351, 0.1366, 0.9709)
Ca (0.1113, 0.2363, 0.3235)

Computed properties:
Crystal system = triclinic
Space group = P1 (1)

---

Of them, model b has the lowest stability.

---

Model a:
VASP calculation (GGA-PBEsol) on an optimized crystal structure of MgCu2O4.

Cell lengths 5.3665, 5.9933, 5.3665 Å; angles 63.40, 90.00, 116.60 degrees
Fractional coordinates of all 14 atoms:
Cu (0.8750, 0.7500, 0.8750)
Cu (0.3750, 0.2500, 0.8750)
Cu (0.8750, 0.7500, 0.3750)
Cu (0.8750, 0.2500, 0.8750)
Mg (0.5000, 0.0000, 0.5000)
Mg (0.2500, 0.5000, 0.2500)
O (0.6522, 0.9017, 0.8933)
O (0.5004, 0.5983, 0.5451)
O (0.8567, 0.4017, 0.5004)
O (0.0978, 0.5983, 0.8567)
O (0.2049, 0.0983, 0.6522)
O (0.2496, 0.9017, 0.2049)
O (0.5451, 0.4017, 0.0978)
O (0.8933, 0.0983, 0.2496)

Computed properties:
Crystal system = tetragonal
Space group = I4_1/a (88)

---

Model b:
VASP calculation (GGA-PBEsol) on an optimized crystal structure of MgCu2O4.

Cell lengths 5.8149, 5.8149, 5.8149 Å; angles 89.91, 60.25, 120.15 degrees
Fractional coordinates of all 14 atoms:
O (0.0151, 0.7659, 0.2491)
O (0.9881, 0.2290, 0.2829)
O (0.9849, 0.2341, 0.7509)
O (0.4849, 0.2358, 0.2491)
O (0.0119, 0.7710, 0.7171)
O (0.5151, 0.7642, 0.7509)
O (0.5119, 0.2290, 0.7590)
O (0.4881, 0.7710, 0.2410)
Cu (0.0000, 0.0000, 0.5000)
Cu (0.2500, 0.3632, 0.8868)
Cu (0.7500, 0.6368, 0.1132)
Cu (0.5000, 0.0000, 0.0000)
Mg (0.5000, 0.0000, 0.5000)
Mg (0.0000, 0.5000, 0.5000)

Computed properties:
Crystal system = orthorhombic
Space group = Imma (74)

---

Of them, model b has the lowest stability.